Entry 1:
The following is a PBE-GGA calculation of crystalline BiTeH2 at its relaxed geometry, from Alexandria via LeMat-Bulk.

Structure (CIF):
```
data_BiTeH2
_chemical_formula_sum 'Bi4 Te4 H8'
_symmetry_space_group_name_H-M 'P 1'
_symmetry_Int_Tables_number 1
_symmetry_space_group_name_Hall 'P 1'
_cell_length_a 6.394
_cell_length_b 6.394
_cell_length_c 6.394
_cell_angle_alpha 90.00
_cell_angle_beta 90.00
_cell_angle_gamma 90.00
loop_
_atom_site_label
_atom_site_fract_x
_atom_site_fract_y
_atom_site_fract_z
Bi1 0.000 0.000 0.000
Bi2 0.000 0.500 0.500
Bi3 0.500 0.000 0.500
Bi4 0.500 0.500 0.000
Te1 0.000 0.000 0.500
Te2 0.000 0.500 0.000
Te3 0.500 0.000 0.000
Te4 0.500 0.500 0.500
H1 0.250 0.250 0.250
H2 0.250 0.250 0.750
H3 0.250 0.750 0.250
H4 0.250 0.750 0.750
H5 0.750 0.250 0.250
H6 0.750 0.250 0.750
H7 0.750 0.750 0.250
H8 0.750 0.750 0.750
```

---

Entry 2:
The following is a PBE-GGA calculation of crystalline BiTe3H at its relaxed geometry, from Alexandria via LeMat-Bulk.

Structure (CIF):
```
data_BiTe3H
_chemical_formula_sum 'Bi1 Te3 H1'
_symmetry_space_group_name_H-M 'P 1'
_symmetry_Int_Tables_number 1
_symmetry_space_group_name_Hall 'P 1'
_cell_length_a 6.023
_cell_length_b 6.023
_cell_length_c 6.023
_cell_angle_alpha 90.00
_cell_angle_beta 90.00
_cell_angle_gamma 90.00
loop_
_atom_site_label
_atom_site_fract_x
_atom_site_fract_y
_atom_site_fract_z
Bi1 0.000 0.000 0.000
Te1 0.000 0.000 0.500
Te2 0.000 0.500 0.000
Te3 0.500 0.000 0.000
H1 0.500 0.500 0.500
```

---

Record-wise VASP energy values, in eV per atom: -2.722 -2.379